# 1
# Pa5Co2Ni12 GGA-PBE relaxed
# ΔH_f (0 K): -0.249 eV per atom
# raw total energy: -7.15 eV/atom
data_Pa5Co2Ni12
_symmetry_space_group_name_H-M 'C 1 2/m 1'
_symmetry_Int_Tables_number 12
_cell_length_a 14.349
_cell_length_b 6.520
_cell_length_c 6.182
_cell_angle_alpha 90.00
_cell_angle_beta 97.70
_cell_angle_gamma 90.00
loop_
_symmetry_equiv_pos_as_xyz
'x,y,z'
'-x,-y,-z'
'-x,y,-z'
'x,-y,z'
'x+1/2,y+1/2,z'
'-x+1/2,-y+1/2,-z'
'-x+1/2,y+1/2,-z'
'x+1/2,-y+1/2,z'
loop_
_atom_site_label
_atom_site_fract_x
_atom_site_fract_y
_atom_site_fract_z
Pa1 0.000 0.000 0.000
Pa2 0.171 0.500 0.557
Pa3 0.235 0.000 0.897
Co1 0.000 0.306 0.500
Ni1 0.053 0.500 0.189
Ni2 0.097 0.304 0.875
Ni3 0.102 0.000 0.589
Ni4 0.149 0.186 0.264


# 2
# PaCoNi GGA-PBE relaxed
# ΔE to the lowest computed polymorph: 297.0 meV per atom
# ΔH_f (0 K): -0.123 eV per atom
# raw total energy: -7.58 eV/atom
data_PaCoNi
_symmetry_space_group_name_H-M 'C 1 2/m 1'
_symmetry_Int_Tables_number 12
_cell_length_a 4.762
_cell_length_b 4.762
_cell_length_c 8.513
_cell_angle_alpha 90.00
_cell_angle_beta 90.17
_cell_angle_gamma 90.00
loop_
_symmetry_equiv_pos_as_xyz
'x,y,z'
'-x,-y,-z'
'-x,y,-z'
'x,-y,z'
'x+1/2,y+1/2,z'
'-x+1/2,-y+1/2,-z'
'-x+1/2,y+1/2,-z'
'x+1/2,-y+1/2,z'
loop_
_atom_site_label
_atom_site_fract_x
_atom_site_fract_y
_atom_site_fract_z
Pa1 0.250 0.000 0.236
Co1 0.250 0.000 0.920
Ni1 0.000 0.250 0.500


# 3
# Pa3Co3Ni GGA-PBE relaxed
# ΔH_f (0 K): -0.366 eV per atom
# raw total energy: -8.31 eV/atom
data_Pa3Co3Ni
_symmetry_space_group_name_H-M 'C m c m'
_symmetry_Int_Tables_number 63
_symmetry_space_group_name_Hall '-C 2c 2'
_cell_length_a 4.246
_cell_length_b 8.488
_cell_length_c 13.363
_cell_angle_alpha 90.00
_cell_angle_beta 90.00
_cell_angle_gamma 90.00
loop_
_atom_site_label
_atom_site_fract_x
_atom_site_fract_y
_atom_site_fract_z
Pa1 0.000 0.028 0.250
Pa2 0.000 0.288 0.105
Co1 0.000 0.251 0.750
Co2 0.000 0.435 0.589
Ni1 0.000 0.000 0.000


# 4
# PaCo3Ni GGA-PBE relaxed
# ΔE to the lowest computed polymorph: 619.7 meV per atom
# ΔH_f (0 K): 0.476 eV per atom
# raw total energy: -6.84 eV/atom
data_PaCo3Ni
_symmetry_space_group_name_H-M 'P m -3 m'
_symmetry_Int_Tables_number 221
_symmetry_space_group_name_Hall '-P 4 2 3'
_cell_length_a 4.286
_cell_length_b 4.286
_cell_length_c 4.286
_cell_angle_alpha 90.00
_cell_angle_beta 90.00
_cell_angle_gamma 90.00
loop_
_atom_site_label
_atom_site_fract_x
_atom_site_fract_y
_atom_site_fract_z
Pa1 0.000 0.000 0.000
Co1 0.000 0.500 0.500
Ni1 0.500 0.500 0.500


# 5
# Pa3Co7Ni2 GGA-PBE relaxed
# ΔE to the lowest computed polymorph: 0.0 meV per atom
# ΔH_f (0 K): -0.330 eV per atom
# raw total energy: -7.81 eV/atom
data_Pa3Co7Ni2
_symmetry_space_group_name_H-M 'R -3 m'
_symmetry_Int_Tables_number 166
_symmetry_space_group_name_Hall '-R 3 2"'
_cell_length_a 4.8688
_cell_length_b 4.8688
_cell_length_c 24.3368
_cell_angle_alpha 90.00
_cell_angle_beta 90.00
_cell_angle_gamma 120.00
loop_
_atom_site_label
_atom_site_fract_x
_atom_site_fract_y
_atom_site_fract_z
Pa1 0.0000 0.0000 0.0000
Pa2 0.0000 0.0000 0.1372
Co1 0.0000 0.0000 0.5000
Co2 0.0026 0.5013 0.9169
Ni1 0.0000 0.0000 0.3338


# 6
# PaCo2Ni3 GGA-PBE relaxed
# ΔH_f (0 K): -0.285 eV per atom
# raw total energy: -7.13 eV/atom
data_PaCo2Ni3
_symmetry_space_group_name_H-M 'P 6/m m m'
_symmetry_Int_Tables_number 191
_symmetry_space_group_name_Hall '-P 6 2'
_cell_length_a 4.7896
_cell_length_b 4.7896
_cell_length_c 4.0382
_cell_angle_alpha 90.00
_cell_angle_beta 90.00
_cell_angle_gamma 120.00
loop_
_atom_site_label
_atom_site_fract_x
_atom_site_fract_y
_atom_site_fract_z
Pa1 0.0000 0.0000 0.0000
Co1 0.3333 0.6667 0.0000
Ni1 0.0000 0.5000 0.5000


# 7
# PaCo5Ni7 GGA-PBE relaxed
# ΔH_f (0 K): -0.109 eV per atom
# raw total energy: -6.69 eV/atom
data_PaCo5Ni7
_symmetry_space_group_name_H-M 'I m m 2'
_symmetry_Int_Tables_number 44
_cell_length_a 4.674
_cell_length_b 8.190
_cell_length_c 8.243
_cell_angle_alpha 90.00
_cell_angle_beta 90.00
_cell_angle_gamma 90.00
loop_
_symmetry_equiv_pos_as_xyz
'x,y,z'
'-x,-y,z'
'-x,y,z'
'x,-y,z'
'x+1/2,y+1/2,z+1/2'
'-x+1/2,-y+1/2,z+1/2'
'-x+1/2,y+1/2,z+1/2'
'x+1/2,-y+1/2,z+1/2'
loop_
_atom_site_label
_atom_site_fract_x
_atom_site_fract_y
_atom_site_fract_z
Pa1 0.000 0.000 0.000
Co1 0.000 0.500 0.729
Co2 0.249 0.252 0.752
Ni1 0.000 0.000 0.355
Ni2 0.000 0.000 0.648
Ni3 0.000 0.284 0.501
Ni4 0.000 0.352 0.004
Ni5 0.000 0.500 0.280


# 8
# Pa2Co15Ni2 GGA-PBE relaxed
# ΔH_f (0 K): -0.130 eV per atom
# raw total energy: -7.35 eV/atom
data_Pa2Co15Ni2
_symmetry_space_group_name_H-M 'R -3 m'
_symmetry_Int_Tables_number 166
_symmetry_space_group_name_Hall '-R 3 2"'
_cell_length_a 8.2736
_cell_length_b 8.2736
_cell_length_c 12.0336
_cell_angle_alpha 90.00
_cell_angle_beta 90.00
_cell_angle_gamma 120.00
loop_
_atom_site_label
_atom_site_fract_x
_atom_site_fract_y
_atom_site_fract_z
Pa1 0.0000 0.0000 0.1591
Co1 0.0000 0.2877 0.5000
Co2 0.0000 0.5000 0.0000
Co3 0.0018 0.5009 0.6501
Ni1 0.0000 0.0000 0.3962